Record 1
A relaxed structure of CsGaH4, computed with PBEsol.

Cell: 5.363 5.363 7.553 Å, 90.00 90.00 90.00°
Space group P4_2/nmc (No. 137, origin choice 2)
Inequivalent atoms, fractional coordinates:
Cs1 0.250 0.750 0.250
Ga1 0.250 0.750 0.750
H1 0.008 0.750 0.628

Values from the calculation:
Theoretical density in g cm⁻³: 3.16
Energy in hartree per atom: -0.1143
M_tot in μB per cell: 0.0
D(E_F) in states/eV per cell: 0.000


Record 2
A relaxed structure of CsGa2H, computed with PBEsol.

Cell: 9.008 9.008 9.008 Å, 90.00 90.00 90.00°
Space group Fd-3m (No. 227, origin choice 2)
Inequivalent atoms, fractional coordinates:
Cs1 0.125 0.125 0.125
Ga1 0.000 0.000 0.500
H1 0.125 0.125 0.625

Values from the calculation:
Theoretical density in g cm⁻³: 4.97
Energy in hartree per atom: -0.0899
M_tot in μB per cell: 0.0
D(E_F) in states/eV per cell: 20.257


Record 3
A relaxed structure of CsMnGa2P3H4O14, computed with PBEsol.

Cell: 13.089 10.351 8.853 Å, 90.00 108.37 90.00°
Space group C2/c (No. 15)
Inequivalent atoms, fractional coordinates:
Cs1 0.000 0.138 0.250
Mn1 0.000 0.236 0.750
Ga1 0.175 0.425 0.573
P1 0.000 0.493 0.750
P2 0.206 0.129 0.676
H1 0.148 0.139 0.987
H2 0.149 0.290 0.038
O1 0.056 0.417 0.389
O2 0.078 0.397 0.707
O3 0.092 0.110 0.679
O4 0.105 0.220 0.970
O5 0.208 0.410 0.161
O6 0.220 0.044 0.540
O7 0.240 0.271 0.657

Values from the calculation:
Theoretical density in g cm⁻³: 3.78
Energy in hartree per atom: -0.2445
M_tot in μB per cell: 4.0
D(E_F) in states/eV per cell: 18.857


Record 4
A relaxed structure of Cs2GaHSe, computed with PBEsol.

Cell: 6.845 6.845 5.051 Å, 90.00 90.00 90.00°
Space group P4/mmm (No. 123)
Inequivalent atoms, fractional coordinates:
Cs1 0.000 0.500 0.000
Ga1 0.000 0.000 0.500
H1 0.500 0.500 0.500
Se1 0.000 0.000 0.000

Values from the calculation:
Theoretical density in g cm⁻³: 2.92
Energy in hartree per atom: -0.0946
M_tot in μB per cell: 0.0
D(E_F) in states/eV per cell: 2.207


Record 5
A relaxed structure of CsTlGa2Hg, computed with PBEsol.

Cell: 5.313 5.313 5.953 Å, 90.00 90.00 90.00°
Space group P4/mmm (No. 123)
Inequivalent atoms, fractional coordinates:
Cs1 0.000 0.000 0.000
Tl1 0.500 0.500 0.000
Ga1 0.000 0.500 0.500
Hg1 0.500 0.500 0.500

Values from the calculation:
Theoretical density in g cm⁻³: 6.69
Energy in hartree per atom: -0.0700
Formation enthalpy at 0 K in eV per atom: 0.259
M_tot in μB per cell: 0.0
D(E_F) in states/eV per cell: 3.752


Record 6
A relaxed structure of Cs3GaI6, computed with PBEsol.

Cell: 12.503 12.503 12.503 Å, 90.00 90.00 90.00°
Space group Fm-3m (No. 225)
Inequivalent atoms, fractional coordinates:
Cs1 0.000 0.000 0.000
Cs2 0.250 0.250 0.250
Ga1 0.000 0.000 0.500
I1 0.000 0.000 0.279

Values from the calculation:
Theoretical density in g cm⁻³: 4.18
Energy in hartree per atom: -0.0989
M_tot in μB per cell: 0.0
Formation energy without anion corrections in eV/atom: -1.014


Record 7
A relaxed structure of Cs2InGaI6, computed with PBEsol.

Cell: 11.840 11.840 11.840 Å, 90.00 90.00 90.00°
Space group Fm-3m (No. 225)
Inequivalent atoms, fractional coordinates:
Cs1 0.250 0.250 0.250
In1 0.000 0.000 0.000
Ga1 0.000 0.000 0.500
I1 0.000 0.000 0.248

Values from the calculation:
Theoretical density in g cm⁻³: 4.85
Energy in hartree per atom: -0.1019
M_tot in μB per cell: 0.0
D(E_F) in states/eV per cell: 5.972
Formation energy without anion corrections in eV/atom: -0.892


Record 8
A relaxed structure of Cs2RbGaI6, computed with PBEsol.

Cell: 12.264 12.264 12.264 Å, 90.00 90.00 90.00°
Space group Fm-3m (No. 225)
Inequivalent atoms, fractional coordinates:
Cs1 0.250 0.250 0.250
Rb1 0.000 0.000 0.000
Ga1 0.000 0.000 0.500
I1 0.000 0.000 0.275

Values from the calculation:
Theoretical density in g cm⁻³: 4.26
Energy in hartree per atom: -0.0993
M_tot in μB per cell: 0.0
Formation energy without anion corrections in eV/atom: -1.016


Record 9
A relaxed structure of CsIn2Ga2, computed with PBEsol.

Cell: 4.809 4.809 11.990 Å, 90.00 90.00 90.00°
Space group I4/mmm (No. 139)
Inequivalent atoms, fractional coordinates:
Cs1 0.000 0.000 0.000
In1 0.000 0.000 0.375
Ga1 0.000 0.500 0.250

Values from the calculation:
Theoretical density in g cm⁻³: 6.01
Energy in hartree per atom: -0.1029
Formation enthalpy at 0 K in eV per atom: -0.082
M_tot in μB per cell: 0.0
D(E_F) in states/eV per cell: 4.866


Record 10
A relaxed structure of CsGa3Ir, computed with PBEsol.

Cell: 4.869 4.869 4.869 Å, 90.00 90.00 90.00°
Space group Pm-3m (No. 221)
Inequivalent atoms, fractional coordinates:
Cs1 0.000 0.000 0.000
Ga1 0.000 0.500 0.500
Ir1 0.500 0.500 0.500

Values from the calculation:
Theoretical density in g cm⁻³: 7.68
Energy in hartree per atom: -0.1620
Formation enthalpy at 0 K in eV per atom: -0.252
M_tot in μB per cell: 0.0
D(E_F) in states/eV per cell: 3.115


Record 11
A relaxed structure of Cs6K3GaSb4, computed with PBEsol.

Cell: 10.9034 10.9034 11.3692 Å, 90.00 90.00 120.00°
Space group P6_3/mmc (No. 194)
Inequivalent atoms, fractional coordinates:
Cs1 0.2093 0.4187 0.0414
K1 0.1192 0.2384 0.7500
Ga1 0.3333 0.6667 0.7500
Sb1 0.0000 0.0000 0.0000
Sb2 0.0532 0.5266 0.7500

Values from the calculation:
Theoretical density in g cm⁻³: 4.17
Energy in hartree per atom: -0.0973
M_tot in μB per cell: 0.0
Formation energy without anion corrections in eV/atom: -0.461


Record 12
A relaxed structure of CsLa3Ga, computed with PBEsol.

Cell: 5.909 5.909 5.909 Å, 90.00 90.00 90.00°
Space group Pm-3m (No. 221)
Inequivalent atoms, fractional coordinates:
Cs1 0.000 0.000 0.000
La1 0.000 0.500 0.500
Ga1 0.500 0.500 0.500

Values from the calculation:
Theoretical density in g cm⁻³: 4.98
Energy in hartree per atom: -0.1412
Formation enthalpy at 0 K in eV per atom: 0.223
M_tot in μB per cell: 0.0
D(E_F) in states/eV per cell: 5.940


Record 13
A relaxed structure of CsLa2ZnGa, computed with PBEsol.

Cell: 5.792 5.792 5.396 Å, 90.00 90.00 90.00°
Space group P4/mmm (No. 123)
Inequivalent atoms, fractional coordinates:
Cs1 0.000 0.000 0.000
La1 0.000 0.500 0.000
Zn1 0.500 0.500 0.500
Ga1 0.000 0.000 0.500

Values from the calculation:
Theoretical density in g cm⁻³: 5.01
Energy in hartree per atom: -0.0794
Formation enthalpy at 0 K in eV per atom: 1.150
M_tot in μB per cell: 0.0
D(E_F) in states/eV per cell: 5.859


Record 14
A relaxed structure of CsLi3Ga, computed with PBEsol.

Cell: 5.318 5.318 5.318 Å, 90.00 90.00 90.00°
Space group Pm-3m (No. 221)
Inequivalent atoms, fractional coordinates:
Cs1 0.000 0.000 0.000
Li1 0.000 0.000 0.500
Ga1 0.500 0.500 0.500

Values from the calculation:
Theoretical density in g cm⁻³: 2.47
Energy in hartree per atom: -0.0408
Formation enthalpy at 0 K in eV per atom: 0.925
M_tot in μB per cell: 0.0
D(E_F) in states/eV per cell: 3.285


Record 15
A relaxed structure of CsLi2NbGa, computed with PBEsol.

Cell: 5.117 5.117 6.119 Å, 90.00 90.00 90.00°
Space group P4/mmm (No. 123)
Inequivalent atoms, fractional coordinates:
Cs1 0.000 0.000 0.000
Li1 0.000 0.500 0.500
Nb1 0.500 0.500 0.000
Ga1 0.000 0.000 0.500

Values from the calculation:
Theoretical density in g cm⁻³: 3.21
Energy in hartree per atom: -0.0941
Formation enthalpy at 0 K in eV per atom: 1.247
M_tot in μB per cell: 4.0
D(E_F) in states/eV per cell: 4.010


Record 16
A relaxed structure of Cs2Li3GaO4, computed with PBEsol.

Cell: 5.000 9.946 11.688 Å, 90.00 90.00 90.00°
Space group Ibam (No. 72)
Inequivalent atoms, fractional coordinates:
Cs1 0.239 0.128 0.000
Li1 0.000 0.000 0.250
Li2 0.000 0.240 0.250
Ga1 0.000 0.500 0.250
O1 0.234 0.382 0.175

Values from the calculation:
Theoretical density in g cm⁻³: 4.80
Energy in hartree per atom: -0.1835
M_tot in μB per cell: 0.0
D(E_F) in states/eV per cell: 0.000
Formation energy without anion corrections in eV/atom: -1.780


Record 17
A relaxed structure of CsMn3Ga, computed with PBEsol.

Cell: 4.877 4.877 4.877 Å, 90.00 90.00 90.00°
Space group Pm-3m (No. 221)
Inequivalent atoms, fractional coordinates:
Cs1 0.000 0.000 0.000
Mn1 0.000 0.000 0.500
Ga1 0.500 0.500 0.500

Values from the calculation:
Theoretical density in g cm⁻³: 5.26
Energy in hartree per atom: -0.1575
Formation enthalpy at 0 K in eV per atom: 2.428
M_tot in μB per cell: 9.9
D(E_F) in states/eV per cell: 4.783


Record 18
A relaxed structure of CsNa3Ga, computed with PBEsol.

Cell: 6.512 6.512 6.512 Å, 90.00 90.00 90.00°
Space group Pm-3m (No. 221)
Inequivalent atoms, fractional coordinates:
Cs1 0.000 0.000 0.000
Na1 0.000 0.000 0.500
Ga1 0.500 0.500 0.500

Values from the calculation:
Theoretical density in g cm⁻³: 1.63
Energy in hartree per atom: -0.0327
Formation enthalpy at 0 K in eV per atom: 0.806
M_tot in μB per cell: 0.0
D(E_F) in states/eV per cell: 4.293


Record 19
A relaxed structure of Cs2NaGaP2, computed with PBEsol.

Cell: 6.725 15.805 6.424 Å, 90.00 90.00 90.00°
Space group Ibam (No. 72)
Inequivalent atoms, fractional coordinates:
Cs1 0.238 0.173 0.000
Na1 0.000 0.000 0.250
Ga1 0.000 0.500 0.250
P1 0.197 0.418 0.000

Values from the calculation:
Theoretical density in g cm⁻³: 4.09
Energy in hartree per atom: -0.1289
Formation enthalpy at 0 K in eV per atom: -0.472
M_tot in μB per cell: 0.0


Record 20
A relaxed structure of CsGa3Ni, computed with PBEsol.

Cell: 4.751 4.751 4.751 Å, 90.00 90.00 90.00°
Space group Pm-3m (No. 221)
Inequivalent atoms, fractional coordinates:
Cs1 0.000 0.000 0.000
Ga1 0.000 0.500 0.500
Ni1 0.500 0.500 0.500

Values from the calculation:
Theoretical density in g cm⁻³: 6.21
Energy in hartree per atom: -0.1265
Formation enthalpy at 0 K in eV per atom: -0.018
M_tot in μB per cell: 0.0
D(E_F) in states/eV per cell: 1.973